Density functional theory data (PBE) for crystalline Nd23Mg4Pt7 at its relaxed geometry.

a b c (Å): 10.1324 10.1324 22.9561
angles (deg): 90.00 90.00 120.00
Space group P6_3mc (No. 186)
Asymmetric unit:
1 Nd 0.0000 0.0000 0.1384 (multiplicity 2)
2 Nd 0.0775 0.5388 0.0510 (multiplicity 6)
3 Nd 0.0878 0.5439 0.7793 (multiplicity 6)
4 Nd 0.1296 0.2591 0.5000 (multiplicity 6)
5 Nd 0.2015 0.4029 0.3526 (multiplicity 6)
6 Nd 0.2063 0.4126 0.1895 (multiplicity 6)
7 Nd 0.2066 0.4132 0.9156 (multiplicity 6)
8 Nd 0.2116 0.4232 0.6446 (multiplicity 6)
9 Nd 0.3333 0.6667 0.4938 (multiplicity 2)
10 Mg 0.0000 0.0000 0.3854 (multiplicity 2)
11 Mg 0.1058 0.2117 0.7724 (multiplicity 6)
12 Pt 0.0456 0.5228 0.4253 (multiplicity 6)
13 Pt 0.1428 0.2856 0.0716 (multiplicity 6)
14 Pt 0.3333 0.6667 0.2743 (multiplicity 2)

The value obtained for the calculated volume is 2041.0 Å³ per cell. For the formation energy, the calculation gives -0.549 eV per atom. The value obtained for the magnetization is 0.0 μB per formula unit.